(1)
# Ho2FeB2Ru5

A geometry-optimized Ho2FeB2Ru5 structure (PBE-GGA, the Alexandria database).

Lattice parameters (Å, degrees): 9.517 9.517 3.086 90.00 90.00 90.00
Fractional positions:
Ho  0.176  0.324  0.000
Ho  0.324  0.824  0.000
Ho  0.676  0.176  0.000
Ho  0.824  0.676  0.000
Fe  0.000  0.000  0.000
Fe  0.500  0.500  0.000
B  0.123  0.623  0.000
B  0.377  0.123  0.000
B  0.623  0.877  0.000
B  0.877  0.377  0.000
Ru  0.000  0.500  0.500
Ru  0.070  0.786  0.500
Ru  0.214  0.070  0.500
Ru  0.286  0.570  0.500
Ru  0.430  0.286  0.500
Ru  0.500  0.000  0.500
Ru  0.570  0.714  0.500
Ru  0.714  0.430  0.500
Ru  0.786  0.930  0.500
Ru  0.930  0.214  0.500

(2)
# Rh2Au3

A geometry-optimized Rh2Au3 structure (PBE-GGA, the Alexandria database).

Lattice parameters (Å, degrees): 2.854 2.854 35.200 90.00 90.00 120.00
Fractional positions:
Rh  0.000  0.000  0.101
Rh  0.000  0.000  0.899
Rh  0.333  0.667  0.566
Rh  0.333  0.667  0.768
Rh  0.667  0.333  0.232
Rh  0.667  0.333  0.434
Au  0.000  0.000  0.298
Au  0.000  0.000  0.500
Au  0.000  0.000  0.702
Au  0.333  0.667  0.167
Au  0.333  0.667  0.369
Au  0.333  0.667  0.965
Au  0.667  0.333  0.035
Au  0.667  0.333  0.631
Au  0.667  0.333  0.833

Number 1: E -162.0 eV per cell. Number 2: E -71.0 eV per cell.